LaHo3Cu2, relaxed, DFT PBE-GGA; symmetry = P4/mmm; DOS(E_F) = 4.947 states/eV/cell; energy of formation = -92 kJ/mol of formula units; E_tot = -4.635 eV/atom; spin magnetization = 0.0 μB per cell
1.0
-1.293 3.219 0.377
-1.313 -0.149 -3.230
-10.481 -4.732 4.481
La Ho Cu
1 3 2
Direct
0.500 0.500 0.500
0.000 0.000 0.000
0.000 0.000 0.726
0.000 0.000 0.274
0.500 0.500 0.859
0.500 0.500 0.141

=====

La2HoCu, relaxed, DFT PBE-GGA; symmetry = P4/mmm; DOS(E_F) = 6.316 states/eV/cell; energy of formation = -13 kJ/mol of formula units; E_tot = -4.666 eV/atom; energy above the lowest structure with this stoichiometry = 0.0 meV per atom; spin magnetization = 0.0 μB per cell
1.0
-2.023 2.670 1.585
-2.914 -2.286 0.131
2.484 -2.722 7.758
Ho Cu La
1 1 2
Direct
0.500 0.500 0.500
0.500 0.500 0.000
0.000 0.000 0.795
0.000 0.000 0.205

=====

LaHo2Cu, relaxed, DFT PBE-GGA; symmetry = Pnma; DOS(E_F) = 20.031 states/eV/cell; energy of formation = -33 kJ/mol of formula units; E_tot = -4.631 eV/atom; energy above the lowest structure with this stoichiometry = 13.0 meV per atom; spin magnetization = 0.0 μB per cell
1.0
-3.358 2.633 4.912
-5.352 0.990 -4.190
-3.570 -9.066 2.418
La Ho Cu
4 8 4
Direct
0.635 0.506 0.250
0.865 0.006 0.250
0.365 0.494 0.750
0.135 0.994 0.750
0.177 0.678 0.057
0.323 0.178 0.443
0.823 0.322 0.557
0.677 0.822 0.943
0.823 0.322 0.943
0.677 0.822 0.557
0.177 0.678 0.443
0.323 0.178 0.057
0.078 0.392 0.250
0.422 0.892 0.250
0.922 0.608 0.750
0.578 0.108 0.750

=====

La2HoCu9, relaxed, DFT PBE-GGA; symmetry = R-3m; DOS(E_F) = 7.389 states/eV/cell; energy of formation = -167 kJ/mol of formula units; E_tot = -4.419 eV/atom; spin magnetization = 0.0 μB per cell
1.0
5.202 0.000 0.000
2.601 4.505 0.000
2.601 1.502 8.559
La Ho Cu
2 1 9
Direct
0.858 0.858 0.425
0.142 0.142 0.575
0.000 0.000 0.000
0.668 0.668 0.995
0.332 0.332 0.005
0.500 0.500 0.500
0.424 0.424 0.235
0.916 0.424 0.235
0.424 0.916 0.235
0.576 0.576 0.765
0.576 0.084 0.765
0.084 0.576 0.765

=====

LaHoCu, relaxed, DFT PBE-GGA; symmetry = I4mm; DOS(E_F) = 3.739 states/eV/cell; energy of formation = -30 kJ/mol of formula units; E_tot = -4.638 eV/atom; energy above the lowest structure with this stoichiometry = 0.0 meV per atom; spin magnetization = 0.0 μB per cell
1.0
-1.164 3.252 0.897
-1.825 -1.405 2.727
6.488 -0.166 1.921
Ho Cu La
1 1 1
Direct
0.298 0.298 0.595
0.682 0.682 0.363
0.021 0.021 0.042

=====

LaHo2Cu6, relaxed, DFT PBE-GGA; symmetry = P6/mmm; DOS(E_F) = 6.200 states/eV/cell; energy of formation = -205 kJ/mol of formula units; E_tot = -4.531 eV/atom; spin magnetization = 0.0 μB per cell
1.0
3.649 0.000 0.000
0.000 6.384 -3.686
0.000 0.000 7.372
La Ho Cu
1 2 6
Direct
0.000 0.000 0.000
0.000 0.333 0.667
0.000 0.667 0.333
0.500 0.337 0.337
0.500 0.663 0.663
0.500 0.000 0.663
0.500 0.663 0.000
0.500 0.337 0.000
0.500 0.000 0.337